Computed, not measured: crystalline Ba2TaCd at its relaxed geometry at the PBE-GGA level of DFT.

Output
electronic total energy: -3.321 eV per atom
M_tot: 12.74 μB/cell

abc: 7.982 7.982 7.982
angles: 90.00 90.00 90.00
Space group F-43m (No. 216)
Symmetry-distinct sites (fractional):
Ba1 0.000 0.000 0.000
Ba2 0.250 0.250 0.250
Ta1 0.000 0.000 0.500
Cd1 0.250 0.250 0.750